(1)
First-principles (PBE) data for an optimized crystal structure of TbNdHgRh, as listed in Alexandria via LeMat-Bulk.

Cell and atoms, written as POSCAR:
```
TbNdHgRh
1.0
0.0000 3.6404 3.6404
3.6404 0.0000 3.6404
3.6404 3.6404 0.0000
Tb Nd Hg Rh
1 1 1 1
Direct
0.0000 0.0000 0.0000
0.5000 0.5000 0.5000
0.7500 0.7500 0.7500
0.2500 0.2500 0.2500
```

Output
- E_form (eV/atom) = -0.55
- symmetry = F-43m, No. 216
- density (Mg/m³) = 10.4
- VASP energy (eV per atom) = -4.8134

---

(2)
First-principles (PBE) data for an optimized crystal structure of ScTcSe2, as listed in Alexandria via LeMat-Bulk.

Cell and atoms, written as POSCAR:
```
ScTcSe2
1.0
-2.6489 2.6489 6.7184
2.6489 -2.6489 6.7184
2.6489 2.6489 -6.7184
Sc Tc Se
2 2 4
Direct
0.0000 0.0000 0.0000
0.7500 0.2500 0.5000
0.2500 0.7500 0.5000
0.5000 0.5000 0.0000
0.1581 0.6250 0.0331
0.3750 0.4081 0.5331
0.5919 0.1250 0.9669
0.8750 0.8419 0.4669
```

Output
- symmetry = I-42d, No. 122
- density (Mg/m³) = 5.3
- formation energy (no corrections) (eV per atom) = -0.4466
- energy relative to the lowest polymorph listed for this composition (meV/atom) = 252
- VASP energy (eV per atom) = -6.3632

---

(3)
First-principles (PBE) data for an optimized crystal structure of RbLa2Re, as listed in Alexandria via LeMat-Bulk.

Cell and atoms, written as POSCAR:
```
RbLa2Re
1.0
-4.2488 4.2488 6.0173
4.2488 -4.2488 6.0173
4.2488 4.2488 -6.0173
Rb La Re
2 4 2
Direct
0.3750 0.6250 0.7500
0.6250 0.3750 0.2500
0.0000 0.0000 0.0000
0.0000 0.0000 0.5000
0.0000 0.5000 0.0000
0.5000 0.0000 0.5000
0.1250 0.8750 0.2500
0.8750 0.1250 0.7500
```

Output
- E_form (eV/atom) = 0.57
- symmetry = I4_1/amd, No. 141
- density (Mg/m³) = 4.2
- energy relative to the lowest polymorph listed for this composition (meV/atom) = 0
- VASP energy (eV per atom) = -5.2499

---

- Which formula does entry 2 have?
  ScTcSe2

---

- The highest VASP energy belongs to which entry?
  TbNdHgRh